Compound: Ta2TlIn
Source: Alexandria
Functional: PBE
Structure: optimized geometry

Results
Its offset from the most stable computed form is 9.9 kJ per mole of atoms. The calculation puts the formation energy at 0.43 eV per atom. The calculation puts the electronic total energy at -6.78 eV per atom.

Geometry as CIF:
```
data_Ta2TlIn
_chemical_formula_sum 'Ta2 Tl1 In1'
_cell_length_a 3.0000
_cell_length_b 4.9126
_cell_length_c 5.5490
_cell_angle_alpha 90.00
_cell_angle_beta 96.38
_cell_angle_gamma 90.00
_space_group_name_H-M_alt 'P 1 m 1'
_space_group_IT_number 6
_space_group_name_Hall 'P -2y'
loop_
_atom_site_label
_atom_site_type_symbol
_atom_site_fract_x
_atom_site_fract_y
_atom_site_fract_z
Ta1 Ta 0.0000 0.0000 0.0000
Ta2 Ta 0.1621 0.5000 0.7403
Tl1 Tl 0.6096 0.5000 0.2272
In1 In 0.5471 0.0000 0.5225
```


Compound: Cs4SrGe3Br12
Source: Alexandria
Functional: PBE
Structure: optimized geometry

Results
The calculation puts the electronic total energy at -3.26 eV per atom.

Geometry as CIF:
```
data_Cs4SrGe3Br12
_chemical_formula_sum 'Cs8 Sr2 Ge6 Br24'
_cell_length_a 11.4428
_cell_length_b 11.4428
_cell_length_c 11.4428
_cell_angle_alpha 90.00
_cell_angle_beta 90.00
_cell_angle_gamma 90.00
_space_group_name_H-M_alt 'I m -3 m'
_space_group_IT_number 229
_space_group_name_Hall '-I 4 2 3'
loop_
_atom_site_label
_atom_site_type_symbol
_atom_site_fract_x
_atom_site_fract_y
_atom_site_fract_z
Cs1 Cs 0.2500 0.2500 0.2500
Sr1 Sr 0.0000 0.0000 0.0000
Ge1 Ge 0.0000 0.0000 0.5000
Br1 Br 0.0000 0.0000 0.2595
Br2 Br 0.0000 0.2500 0.5000
```


Compound: TlGaSe2N
Source: Alexandria
Functional: PBE
Structure: optimized geometry

Results
Its offset from the most stable computed form is 0.0 kJ per mole of atoms. The calculation puts the electronic total energy at -3.68 eV per atom.

Geometry as CIF:
```
data_TlGaSe2N
_chemical_formula_sum 'Tl1 Ga1 Se2 N1'
_cell_length_a 5.4540
_cell_length_b 5.4540
_cell_length_c 3.6808
_cell_angle_alpha 90.00
_cell_angle_beta 90.00
_cell_angle_gamma 90.00
_space_group_name_H-M_alt 'P 4/m m m'
_space_group_IT_number 123
_space_group_name_Hall '-P 4 2'
loop_
_atom_site_label
_atom_site_type_symbol
_atom_site_fract_x
_atom_site_fract_y
_atom_site_fract_z
Tl1 Tl 0.0000 0.0000 0.0000
Ga1 Ga 0.5000 0.5000 0.5000
Se1 Se 0.0000 0.5000 0.5000
N1 N 0.5000 0.5000 0.0000
```


Compound: HgBiAu
Source: Alexandria
Functional: PBE
Structure: optimized geometry

Results
The calculation puts the formation energy at 0.06 eV per atom. The calculation puts the electronic total energy at -2.43 eV per atom.

Geometry as CIF:
```
data_HgBiAu
_chemical_formula_sum 'Hg2 Bi2 Au2'
_cell_length_a 5.8860
_cell_length_b 3.6816
_cell_length_c 7.3698
_cell_angle_alpha 90.00
_cell_angle_beta 106.51
_cell_angle_gamma 90.00
_space_group_name_H-M_alt 'P 1 2/m 1'
_space_group_IT_number 10
_space_group_name_Hall '-P 2y'
loop_
_atom_site_label
_atom_site_type_symbol
_atom_site_fract_x
_atom_site_fract_y
_atom_site_fract_z
Hg1 Hg 0.1423 0.0000 0.3569
Bi1 Bi 0.4028 0.5000 0.7286
Au1 Au 0.2417 0.0000 0.9936
```


Compound: Li4ScIn
Source: Alexandria
Functional: PBE
Structure: optimized geometry

Results
The calculation puts the formation energy at -0.10 eV per atom. The calculation puts the electronic total energy at -2.89 eV per atom.

Geometry as CIF:
```
data_Li4ScIn
_chemical_formula_sum 'Li16 Sc4 In4'
_cell_length_a 7.5726
_cell_length_b 7.5726
_cell_length_c 7.5726
_cell_angle_alpha 90.00
_cell_angle_beta 90.00
_cell_angle_gamma 90.00
_space_group_name_H-M_alt 'F -4 3 m'
_space_group_IT_number 216
_space_group_name_Hall 'F -4 2 3'
loop_
_atom_site_label
_atom_site_type_symbol
_atom_site_fract_x
_atom_site_fract_y
_atom_site_fract_z
Li1 Li 0.1246 0.1246 0.1246
Sc1 Sc 0.0000 0.0000 0.5000
In1 In 0.2500 0.2500 0.7500
```


Compound: BaCd6In4
Source: Alexandria
Functional: PBE
Structure: optimized geometry

Results
The calculation puts the formation energy at -0.02 eV per atom. The calculation puts the electronic total energy at -1.69 eV per atom.

Geometry as CIF:
```
data_BaCd6In4
_chemical_formula_sum 'Ba2 Cd12 In8'
_cell_length_a 7.5130
_cell_length_b 7.5130
_cell_length_c 11.3557
_cell_angle_alpha 90.00
_cell_angle_beta 90.00
_cell_angle_gamma 90.00
_space_group_name_H-M_alt 'I -4 2 m'
_space_group_IT_number 121
_space_group_name_Hall 'I -4 2'
loop_
_atom_site_label
_atom_site_type_symbol
_atom_site_fract_x
_atom_site_fract_y
_atom_site_fract_z
Ba1 Ba 0.0000 0.0000 0.0000
Cd1 Cd 0.0000 0.5000 0.0000
Cd2 Cd 0.1625 0.1625 0.4115
In1 In 0.2150 0.2150 0.6871
```


Compound: GdTmScIr
Source: Alexandria
Functional: PBE
Structure: optimized geometry

Results
The calculation puts the formation energy at -0.27 eV per atom. The calculation puts the electronic total energy at -8.71 eV per atom.

Geometry as CIF:
```
data_GdTmScIr
_chemical_formula_sum 'Gd4 Tm4 Sc4 Ir4'
_cell_length_a 7.0955
_cell_length_b 7.0955
_cell_length_c 7.0955
_cell_angle_alpha 90.00
_cell_angle_beta 90.00
_cell_angle_gamma 90.00
_space_group_name_H-M_alt 'F -4 3 m'
_space_group_IT_number 216
_space_group_name_Hall 'F -4 2 3'
loop_
_atom_site_label
_atom_site_type_symbol
_atom_site_fract_x
_atom_site_fract_y
_atom_site_fract_z
Gd1 Gd 0.0000 0.0000 0.0000
Tm1 Tm 0.0000 0.0000 0.5000
Sc1 Sc 0.2500 0.2500 0.7500
Ir1 Ir 0.2500 0.2500 0.2500
```


Compound: Li3HfSb
Source: Alexandria
Functional: PBE
Structure: optimized geometry

Results
Its offset from the most stable computed form is 0.0 kJ per mole of atoms. The calculation puts the electronic total energy at -3.44 eV per atom.

Geometry as CIF:
```
data_Li3HfSb
_chemical_formula_sum 'Li3 Hf1 Sb1'
_cell_length_a 4.8300
_cell_length_b 4.8300
_cell_length_c 4.8300
_cell_angle_alpha 90.00
_cell_angle_beta 90.00
_cell_angle_gamma 90.00
_space_group_name_H-M_alt 'P m -3 m'
_space_group_IT_number 221
_space_group_name_Hall '-P 4 2 3'
loop_
_atom_site_label
_atom_site_type_symbol
_atom_site_fract_x
_atom_site_fract_y
_atom_site_fract_z
Li1 Li 0.0000 0.0000 0.5000
Hf1 Hf 0.5000 0.5000 0.5000
Sb1 Sb 0.0000 0.0000 0.0000
```


Compound: Li2In3Hg7
Source: Alexandria
Functional: PBE
Structure: optimized geometry

Results
The calculation puts the formation energy at -0.08 eV per atom. The calculation puts the electronic total energy at -1.26 eV per atom.

Geometry as CIF:
```
data_Li2In3Hg7
_chemical_formula_sum 'Li2 In3 Hg7'
_cell_length_a 5.1763
_cell_length_b 5.2685
_cell_length_c 11.2045
_cell_angle_alpha 90.00
_cell_angle_beta 99.42
_cell_angle_gamma 90.00
_space_group_name_H-M_alt 'P 1 2/m 1'
_space_group_IT_number 10
_space_group_name_Hall '-P 2y'
loop_
_atom_site_label
_atom_site_type_symbol
_atom_site_fract_x
_atom_site_fract_y
_atom_site_fract_z
Li1 Li 0.1350 0.0000 0.2943
In1 In 0.0000 0.0000 0.0000
In2 In 0.4765 0.5000 0.6534
Hg1 Hg 0.0022 0.5000 0.1863
Hg2 Hg 0.2658 0.0000 0.5588
Hg3 Hg 0.4374 0.0000 0.8376
Hg4 Hg 0.5000 0.5000 0.0000
```


Compound: KPdPb3
Source: Alexandria
Functional: PBE
Structure: optimized geometry

Results
Its offset from the most stable computed form is 16.0 kJ per mole of atoms. The calculation puts the formation energy at -0.02 eV per atom. The calculation puts the electronic total energy at -3.50 eV per atom.

Geometry as CIF:
```
data_KPdPb3
_chemical_formula_sum 'K1 Pd1 Pb3'
_cell_length_a 5.5114
_cell_length_b 5.5114
_cell_length_c 5.5114
_cell_angle_alpha 90.00
_cell_angle_beta 90.00
_cell_angle_gamma 90.00
_space_group_name_H-M_alt 'P m -3 m'
_space_group_IT_number 221
_space_group_name_Hall '-P 4 2 3'
loop_
_atom_site_label
_atom_site_type_symbol
_atom_site_fract_x
_atom_site_fract_y
_atom_site_fract_z
K1 K 0.0000 0.0000 0.0000
Pd1 Pd 0.5000 0.5000 0.5000
Pb1 Pb 0.0000 0.5000 0.5000
```


Compound: NbCoAgSb2
Source: Alexandria
Functional: PBE
Structure: optimized geometry

Results
The calculation puts the electronic total energy at -4.90 eV per atom.

Geometry as CIF:
```
data_NbCoAgSb2
_chemical_formula_sum 'Nb1 Co1 Ag1 Sb2'
_cell_length_a 4.7767
_cell_length_b 4.7767
_cell_length_c 4.8466
_cell_angle_alpha 90.00
_cell_angle_beta 90.00
_cell_angle_gamma 90.00
_space_group_name_H-M_alt 'P 4/m m m'
_space_group_IT_number 123
_space_group_name_Hall '-P 4 2'
loop_
_atom_site_label
_atom_site_type_symbol
_atom_site_fract_x
_atom_site_fract_y
_atom_site_fract_z
Nb1 Nb 0.0000 0.0000 0.0000
Co1 Co 0.5000 0.5000 0.5000
Ag1 Ag 0.5000 0.5000 0.0000
Sb1 Sb 0.0000 0.5000 0.5000
```


Compound: Ba3Tl2Hg4Pt2
Source: Alexandria
Functional: PBE
Structure: optimized geometry

Results
The calculation puts the formation energy at -0.43 eV per atom. The calculation puts the electronic total energy at -2.60 eV per atom.

Geometry as CIF:
```
data_Ba3Tl2Hg4Pt2
_chemical_formula_sum 'Ba3 Tl2 Hg4 Pt2'
_cell_length_a 4.9117
_cell_length_b 4.9117
_cell_length_c 16.9447
_cell_angle_alpha 90.00
_cell_angle_beta 90.00
_cell_angle_gamma 120.00
_space_group_name_H-M_alt 'P -3 m 1'
_space_group_IT_number 164
_space_group_name_Hall '-P 3 2"'
loop_
_atom_site_label
_atom_site_type_symbol
_atom_site_fract_x
_atom_site_fract_y
_atom_site_fract_z
Ba1 Ba 0.0000 0.0000 0.0000
Ba2 Ba 0.0000 0.0000 0.2459
Tl1 Tl 0.3333 0.6667 0.5593
Hg1 Hg 0.3333 0.6667 0.3718
Hg2 Hg 0.3333 0.6667 0.8755
Pt1 Pt 0.3333 0.6667 0.1282
```